# GGA-PBE Y4HoIn5, relaxed
data_Y4HoIn5
_chemical_formula_sum 'Y4 Ho1 In5'
_space_group_name_H-M_alt 'P 1'
_space_group_IT_number 1
_space_group_name_Hall 'P 1'
_cell_length_a 3.747
_cell_length_b 3.747
_cell_length_c 18.961
_cell_angle_alpha 90.00
_cell_angle_beta 90.00
_cell_angle_gamma 90.00
loop_
_atom_site_label
_atom_site_fract_x
_atom_site_fract_y
_atom_site_fract_z
Y1 0.000 0.000 0.100
Y2 0.000 0.000 0.301
Y3 0.000 0.000 0.699
Y4 0.000 0.000 0.900
Ho1 0.000 0.000 0.500
In1 0.500 0.500 0.000
In2 0.500 0.500 0.201
In3 0.500 0.500 0.401
In4 0.500 0.500 0.599
In5 0.500 0.500 0.799
# - N(E_F): 6.1 states/eV/f.u.
# - DFT total energy: -49.02 eV/cell
# - Space-group type: P4/mmm (123)

---

# GGA-PBE Cu3Ru, relaxed
data_Cu3Ru
_chemical_formula_sum 'Cu3 Ru1'
_space_group_name_H-M_alt 'P 1'
_space_group_IT_number 1
_space_group_name_Hall 'P 1'
_cell_length_a 8.661
_cell_length_b 8.661
_cell_length_c 8.661
_cell_angle_alpha 17.37
_cell_angle_beta 17.37
_cell_angle_gamma 17.37
loop_
_atom_site_label
_atom_site_fract_x
_atom_site_fract_y
_atom_site_fract_z
Cu1 0.000 0.000 0.000
Cu2 0.252 0.252 0.252
Cu3 0.748 0.748 0.748
Ru1 0.500 0.500 0.500
# - N(E_F): 2.9 states/eV/f.u.
# - DFT total energy: -20.98 eV/cell
# - Space-group type: R-3m (166)

---

# GGA-PBE K4U3BeS8, relaxed
data_K4U3BeS8
_chemical_formula_sum 'K4 U3 Be1 S8'
_space_group_name_H-M_alt 'P 1'
_space_group_IT_number 1
_space_group_name_Hall 'P 1'
_cell_length_a 7.974
_cell_length_b 7.974
_cell_length_c 8.703
_cell_angle_alpha 117.29
_cell_angle_beta 117.29
_cell_angle_gamma 58.86
loop_
_atom_site_label
_atom_site_fract_x
_atom_site_fract_y
_atom_site_fract_z
K1 0.000 0.000 0.000
K2 0.000 0.500 0.000
K3 0.500 0.000 0.000
K4 0.500 0.500 0.000
U1 0.000 0.000 0.500
U2 0.000 0.500 0.500
U3 0.500 0.000 0.500
Be1 0.500 0.500 0.500
S1 0.234 0.234 0.708
S2 0.257 0.257 0.289
S3 0.262 0.706 0.681
S4 0.294 0.738 0.319
S5 0.706 0.262 0.681
S6 0.738 0.294 0.319
S7 0.743 0.743 0.711
S8 0.766 0.766 0.292
# - N(E_F): 12.4 states/eV/f.u.
# - Space-group type: C2/m (12)
# - Energy relative to the elements, uncorrected: -1206 meV per atom

---

# GGA-PBE Ce2MnZnGa6, relaxed
data_Ce2MnZnGa6
_chemical_formula_sum 'Ce2 Mn1 Zn1 Ga6'
_space_group_name_H-M_alt 'P 1'
_space_group_IT_number 1
_space_group_name_Hall 'P 1'
_cell_length_a 6.679
_cell_length_b 6.679
_cell_length_c 8.460
_cell_angle_alpha 129.17
_cell_angle_beta 129.17
_cell_angle_gamma 48.19
loop_
_atom_site_label
_atom_site_fract_x
_atom_site_fract_y
_atom_site_fract_z
Ce1 0.020 0.020 0.269
Ce2 0.980 0.980 0.731
Mn1 0.500 0.500 0.500
Zn1 0.500 0.500 0.000
Ga1 0.004 0.508 0.269
Ga2 0.342 0.342 0.095
Ga3 0.492 0.996 0.731
Ga4 0.508 0.004 0.269
Ga5 0.658 0.658 0.905
Ga6 0.996 0.492 0.731
# - N(E_F): 15.3 states/eV/f.u.
# - DFT total energy: -43.14 eV/cell
# - Space-group type: C2/m (12)

---

# GGA-PBE Zn4Ag4Au3, relaxed
data_Zn4Ag4Au3
_chemical_formula_sum 'Zn4 Ag4 Au3'
_space_group_name_H-M_alt 'P 1'
_space_group_IT_number 1
_space_group_name_Hall 'P 1'
_cell_length_a 8.892
_cell_length_b 8.892
_cell_length_c 8.892
_cell_angle_alpha 161.26
_cell_angle_beta 120.85
_cell_angle_gamma 62.62
loop_
_atom_site_label
_atom_site_fract_x
_atom_site_fract_y
_atom_site_fract_z
Zn1 0.059 0.823 0.236
Zn2 0.413 0.177 0.236
Zn3 0.587 0.823 0.764
Zn4 0.941 0.177 0.764
Ag1 0.216 0.000 0.216
Ag2 0.310 0.310 0.000
Ag3 0.690 0.690 0.000
Ag4 0.784 0.000 0.784
Au1 0.116 0.616 0.500
Au2 0.500 0.500 0.000
Au3 0.884 0.384 0.500
# - N(E_F): 3.3 states/eV/f.u.
# - Energy relative to the lowest polymorph listed for this composition: 0.0848 eV per atom
# - Space-group type: Immm (71)

---

# GGA-PBE Ag2HgF2, relaxed
data_Ag2HgF2
_chemical_formula_sum 'Ag4 Hg2 F4'
_space_group_name_H-M_alt 'P 1'
_space_group_IT_number 1
_space_group_name_Hall 'P 1'
_cell_length_a 7.423
_cell_length_b 7.423
_cell_length_c 2.999
_cell_angle_alpha 90.00
_cell_angle_beta 90.00
_cell_angle_gamma 90.00
loop_
_atom_site_label
_atom_site_fract_x
_atom_site_fract_y
_atom_site_fract_z
Ag1 0.141 0.359 0.000
Ag2 0.359 0.859 0.000
Ag3 0.641 0.141 0.000
Ag4 0.859 0.641 0.000
Hg1 0.000 0.000 0.000
Hg2 0.500 0.500 0.000
F1 0.146 0.646 0.500
F2 0.354 0.146 0.500
F3 0.646 0.854 0.500
F4 0.854 0.354 0.500
# - N(E_F): 0.8 states/eV/f.u.
# - Energy relative to the lowest polymorph listed for this composition: 0.0674 eV per atom
# - Space-group type: P4/mbm (127)
# - Energy relative to the elements, uncorrected: -742 meV per atom

---

# GGA-PBE Si5Au, relaxed
data_Si5Au
_chemical_formula_sum 'Si5 Au1'
_space_group_name_H-M_alt 'P 1'
_space_group_IT_number 1
_space_group_name_Hall 'P 1'
_cell_length_a 5.682
_cell_length_b 5.682
_cell_length_c 6.871
_cell_angle_alpha 113.27
_cell_angle_beta 113.27
_cell_angle_gamma 28.01
loop_
_atom_site_label
_atom_site_fract_x
_atom_site_fract_y
_atom_site_fract_z
Si1 0.000 0.000 0.000
Si2 0.165 0.165 0.838
Si3 0.327 0.327 0.670
Si4 0.673 0.673 0.330
Si5 0.835 0.835 0.162
Au1 0.500 0.500 0.500
# - N(E_F): 2.4 states/eV/f.u.
# - Energy relative to the lowest polymorph listed for this composition: 0.0000 eV per atom
# - Space-group type: C2/m (12)
# - Energy relative to the elements, uncorrected: 266 meV per atom

---

# GGA-PBE Nd2Hg3Pb, relaxed
data_Nd2Hg3Pb
_chemical_formula_sum 'Nd2 Hg3 Pb1'
_space_group_name_H-M_alt 'P 1'
_space_group_IT_number 1
_space_group_name_Hall 'P 1'
_cell_length_a 11.367
_cell_length_b 11.367
_cell_length_c 11.367
_cell_angle_alpha 161.70
_cell_angle_beta 157.28
_cell_angle_gamma 29.33
loop_
_atom_site_label
_atom_site_fract_x
_atom_site_fract_y
_atom_site_fract_z
Nd1 0.000 0.000 0.000
Nd2 0.733 0.233 0.500
Hg1 0.165 0.665 0.500
Hg2 0.313 0.813 0.500
Hg3 0.420 0.420 0.000
Pb1 0.577 0.577 0.000
# - N(E_F): 4.2 states/eV/f.u.
# - Energy relative to the lowest polymorph listed for this composition: 0.1426 eV per atom
# - Space-group type: Imm2 (44)

---

Question: The highest N(E_F) belongs to which entry?
Answer: Ce2MnZnGa6

---

Question: Which value of N(E_F) does entry 8 give?
Answer: 4.2 states/eV/f.u.